First-principles (GGA-PBE) data for crystalline Nd2ZnCuO5 at its relaxed geometry, as listed in Alexandria via LeMat-Bulk.

Cell: 5.713 6.753 6.753 Å, 90.00 90.00 90.00°
Each line ends with the local moment (μB).
Sites, in units of the cell vectors:
O (0.753, 0.863, 0.363)  0.14
O (0.753, 0.637, 0.863)  0.14
O (0.247, 0.863, 0.363)  0.14
O (0.753, 0.137, 0.637)  0.14
O (0.500, 0.500, 0.500)  0.13
O (0.500, 0.000, 0.000)  0.13
O (0.247, 0.637, 0.863)  0.14
O (0.247, 0.363, 0.137)  0.14
O (0.247, 0.137, 0.637)  0.14
O (0.753, 0.363, 0.137)  0.14
Cu (0.000, 0.500, 0.500)  0.16
Cu (0.000, 0.000, 0.000)  0.16
Zn (0.000, 0.000, 0.500)  0.11
Zn (0.000, 0.500, 0.000)  0.11
Nd (0.500, 0.174, 0.326)  0.00
Nd (0.500, 0.826, 0.674)  0.00
Nd (0.500, 0.674, 0.174)  0.00
Nd (0.500, 0.326, 0.826)  0.00

Values from the calculation:
ΔE_f (raw)   -1.836 eV/atom